Record 1
DFT (GGA-PBE) results for a geometry-optimized TbSmGa4 structure.

The structure in CIF format:
```
data_TbSmGa4
_chemical_formula_sum 'Tb1 Sm1 Ga4'
_symmetry_space_group_name_H-M 'P 1'
_symmetry_Int_Tables_number 1
_symmetry_space_group_name_Hall 'P 1'
_cell_length_a 7.959
_cell_length_b 7.959
_cell_length_c 7.959
_cell_angle_alpha 149.40
_cell_angle_beta 149.40
_cell_angle_gamma 43.82
loop_
_atom_site_label
_atom_site_type_symbol
_atom_site_fract_x
_atom_site_fract_y
_atom_site_fract_z
Tb1 Tb 0.000 0.000 0.000
Sm1 Sm 0.750 0.250 0.500
Ga1 Ga 0.167 0.667 0.500
Ga2 Ga 0.333 0.833 0.500
Ga3 Ga 0.418 0.418 0.000
Ga4 Ga 0.582 0.582 0.000
```

As for the final energy: -4.236 eV/atom. Its space group is I-4m2, No. 119. As for the relative energy among the computed polymorphs: 0.00 eV per formula unit. For the total magnetization, the calculation gives 0.00 μB per formula unit.

=====

Record 2
DFT (GGA-PBE) results for a geometry-optimized Li2RhAu structure.

The structure in CIF format:
```
data_Li2RhAu
_chemical_formula_sum 'Li2 Rh1 Au1'
_symmetry_space_group_name_H-M 'P 1'
_symmetry_Int_Tables_number 1
_symmetry_space_group_name_Hall 'P 1'
_cell_length_a 4.332
_cell_length_b 5.187
_cell_length_c 5.187
_cell_angle_alpha 29.74
_cell_angle_beta 90.00
_cell_angle_gamma 90.00
loop_
_atom_site_label
_atom_site_type_symbol
_atom_site_fract_x
_atom_site_fract_y
_atom_site_fract_z
Li1 Li 0.000 0.000 0.000
Li2 Li 0.500 0.133 0.133
Rh1 Rh 0.000 0.743 0.743
Au1 Au 0.500 0.387 0.387
```

As for the final energy: -3.840 eV/atom. Its space group is Amm2, No. 38. For the total magnetization, the calculation gives 0.32 μB per formula unit.

=====

Number 1: formation energy -63.7 kJ per mole of atoms. Number 2: formation energy -21.8 kJ per mole of atoms.